{"formula": "V6O7F5", "functional": "PBE+U", "state": "optimized geometry", "lattice_angstrom": [[5.619, 0.000, 0.000], [1.767, 5.336, 0.000], [2.176, 1.623, 6.834]], "species": ["V", "V", "V", "V", "V", "V", "O", "O", "O", "O", "O", "O", "O", "F", "F", "F", "F", "F"], "fractional_positions": [[0.000, 0.000, 0.000], [0.003, 0.000, 0.506], [0.352, 0.282, 0.163], [0.354, 0.360, 0.682], [0.663, 0.654, 0.340], [0.709, 0.643, 0.835], [0.000, 0.353, 0.826], [0.112, 0.081, 0.208], [0.305, 0.685, 0.511], [0.456, 0.426, 0.869], [0.652, 0.005, 0.174], [0.698, 0.304, 0.505], [0.911, 0.887, 0.800], [0.051, 0.612, 0.172], [0.253, 0.221, 0.473], [0.386, 0.960, 0.831], [0.575, 0.545, 0.137], [0.774, 0.759, 0.536]], "energy_ev_per_atom": -7.275, "polymorph_energy_kj_per_mol_atoms": 0.0}